# EuWO5 GGA+U optimized geometry
# N(E_F) ... 1.566 states/eV per atom
# Density ... 6.00 g/cm3
# E ... -224.80 eV per cell
# Crystal system ... monoclinic
data_EuWO5
_cell_length_a 5.425
_cell_length_b 13.053
_cell_length_c 7.244
_cell_angle_alpha 90.00
_cell_angle_beta 116.15
_cell_angle_gamma 90.00
_symmetry_space_group_name_H-M 'P 1 21/c 1'
_symmetry_Int_Tables_number 14
loop_
_symmetry_equiv_pos_as_xyz
'x,y,z'
'-x,-y,-z'
'-x,y+1/2,-z+1/2'
'x,-y+1/2,z+1/2'
loop_
_atom_site_label
_atom_site_type_symbol
_atom_site_fract_x
_atom_site_fract_y
_atom_site_fract_z
Eu1 Eu 0.135 0.057 0.287
W1 W 0.370 0.139 0.862
O1 O 0.076 0.090 0.590
O2 O 0.131 0.087 0.960
O3 O 0.307 0.620 0.407
O4 O 0.329 0.224 0.330
O5 O 0.496 0.568 0.816